# PBE BaP2SCl, relaxed
# ΔE_f (raw), meV/atom: 235
# Density, g/cm3: 3.7
# Fermi-level density of states, states/eV/atom: 1.001
data_BaP2SCl
_chemical_formula_sum 'Ba1 P2 S1 Cl1'
_space_group_name_H-M_alt 'P 4/m m m'
_space_group_IT_number 123
_space_group_name_Hall '-P 4 2'
_cell_length_a 4.845
_cell_length_b 4.845
_cell_length_c 5.144
_cell_angle_alpha 90.00
_cell_angle_beta 90.00
_cell_angle_gamma 90.00
loop_
_atom_site_label
_atom_site_type_symbol
_atom_site_fract_x
_atom_site_fract_y
_atom_site_fract_z
Ba1 Ba 0.000 0.000 0.000
P1 P 0.000 0.500 0.500
S1 S 0.500 0.500 0.000
Cl1 Cl 0.500 0.500 0.500